1.
Material: BeAgW2
Method: DFT, PBE
State: optimized geometry

Cell: 3.1960 3.1960 5.9831 Å, 90.00 90.00 90.00°
Atoms (fractional coordinates):
Be 0.0000 0.0000 0.0000
Ag 0.5000 0.5000 0.7610
W 0.0000 0.0000 0.4413
W 0.5000 0.5000 0.2212

Output
Calculated total energy in eV for the cell shown: -30.71
Total magnetic moment in μB per formula unit: 0.000


2.
Material: NaEuBiAu
Method: DFT, PBE
State: optimized geometry

Cell: 5.3598 5.3598 5.3598 Å, 60.00 60.00 60.00°
Atoms (fractional coordinates):
Na 0.0000 0.0000 0.0000
Eu 0.5000 0.5000 0.5000
Bi 0.2500 0.2500 0.2500
Au 0.7500 0.7500 0.7500

Output
Calculated total energy in eV for the cell shown: -20.98
Total magnetic moment in μB per formula unit: 6.849


3.
Material: CrOsRh4
Method: DFT, PBE
State: optimized geometry

Cell: 5.0424 5.0424 5.0424 Å, 60.00 60.00 60.00°
Atoms (fractional coordinates):
Cr 0.0000 0.0000 0.0000
Os 0.7500 0.7500 0.7500
Rh 0.3751 0.3751 0.3751
Rh 0.3751 0.3751 0.8747
Rh 0.3751 0.8747 0.3751
Rh 0.8747 0.3751 0.3751

Output
Excess energy over the best structure of this formula in the dataset in kJ/mol of formula units: 337
Total magnetic moment in μB per formula unit: 1.930


4.
Material: MnTc2Ni
Method: DFT, PBE
State: optimized geometry

Cell: 3.6955 3.6955 3.7847 Å, 90.00 90.00 90.00°
Atoms (fractional coordinates):
Mn 0.0000 0.0000 0.0000
Tc 0.0000 0.5000 0.5000
Tc 0.5000 0.0000 0.5000
Ni 0.5000 0.5000 0.0000

Output
Excess energy over the best structure of this formula in the dataset in kJ/mol of formula units: 10
Total magnetic moment in μB per formula unit: 1.570


5.
Material: CaPu2Sn9
Method: DFT, PBE
State: optimized geometry

Cell: 6.5081 4.5960 11.4055 Å, 90.00 106.51 90.00°
Atoms (fractional coordinates):
Ca 0.0000 0.0000 0.0000
Pu 0.1807 0.9875 0.3605
Pu 0.8193 0.9875 0.6395
Sn 0.0000 0.4884 0.5000
Sn 0.1481 0.4990 0.8087
Sn 0.3321 0.9929 0.6652
Sn 0.3401 0.5000 0.1913
Sn 0.5000 0.1655 0.0000
Sn 0.5000 0.4883 0.5000
Sn 0.6599 0.5000 0.8087
Sn 0.6679 0.9929 0.3348
Sn 0.8519 0.4990 0.1913

Output
Calculated total energy in eV for the cell shown: -69.97
Total magnetic moment in μB per formula unit: 0.000


6.
Material: HoHfPdAu
Method: DFT, PBE
State: optimized geometry

Cell: 4.8762 4.8762 4.8762 Å, 60.00 60.00 60.00°
Atoms (fractional coordinates):
Ho 0.0000 0.0000 0.0000
Hf 0.5000 0.5000 0.5000
Pd 0.7500 0.7500 0.7500
Au 0.2500 0.2500 0.2500

Output
Calculated total energy in eV for the cell shown: -25.56
Total magnetic moment in μB per formula unit: 0.000


7.
Material: Pm3Nd2Dy4
Method: DFT, PBE
State: optimized geometry

Cell: 8.0774 8.0774 8.0576 Å, 107.48 107.48 36.82°
Atoms (fractional coordinates):
Pm 0.0000 0.0000 0.0000
Pm 0.1110 0.1110 0.6644
Pm 0.8890 0.8890 0.3356
Nd 0.3337 0.3337 0.9995
Nd 0.6663 0.6663 0.0005
Dy 0.2220 0.2220 0.3355
Dy 0.4432 0.4432 0.6645
Dy 0.5568 0.5568 0.3355
Dy 0.7780 0.7780 0.6645

Output
Calculated total energy in eV for the cell shown: -42.04
Total magnetic moment in μB per formula unit: 0.000


8.
Material: Sr2CoSe2
Method: DFT, PBE
State: optimized geometry

Cell: 6.9125 6.9125 6.9125 Å, 129.01 129.01 75.00°
Atoms (fractional coordinates):
Sr 0.2091 0.2091 0.0000
Sr 0.7909 0.7909 0.0000
Co 0.5000 0.5000 0.0000
Se 0.2500 0.7500 0.5000
Se 0.7500 0.2500 0.5000

Output
Energy relative to the elements, uncorrected in eV per atom: -0.40
Total magnetic moment in μB per formula unit: 2.816


9.
Material: Ca2Al4Zn3Pt
Method: DFT, PBE
State: optimized geometry

Cell: 4.2320 4.2320 10.8705 Å, 90.00 90.00 90.00°
Atoms (fractional coordinates):
Ca 0.0000 0.5000 0.2446
Ca 0.5000 0.0000 0.7554
Al 0.0000 0.0000 0.5000
Al 0.0000 0.5000 0.8737
Al 0.5000 0.0000 0.1263
Al 0.5000 0.5000 0.5000
Zn 0.0000 0.0000 0.0000
Zn 0.0000 0.5000 0.6422
Zn 0.5000 0.0000 0.3578
Pt 0.5000 0.5000 0.0000

Output
Calculated total energy in eV for the cell shown: -33.15
Total magnetic moment in μB per formula unit: 0.000


10.
Material: CsPdO2
Method: DFT, PBE
State: optimized geometry

Cell: 7.8038 7.8038 7.8038 Å, 27.85 27.85 27.85°
Atoms (fractional coordinates):
Cs 0.0000 0.0000 0.0000
Pd 0.5000 0.5000 0.5000
O 0.4184 0.4184 0.4184
O 0.5816 0.5816 0.5816

Output
Energy relative to the elements, uncorrected in eV per atom: -0.33
Total magnetic moment in μB per formula unit: 2.191


11.
Material: LiGaSeBr2
Method: DFT, PBE
State: optimized geometry

Cell: 5.3655 5.3655 4.9389 Å, 90.00 90.00 90.00°
Atoms (fractional coordinates):
Li 0.0000 0.0000 0.0000
Ga 0.5000 0.5000 0.5000
Se 0.5000 0.5000 0.0000
Br 0.0000 0.5000 0.5000
Br 0.5000 0.0000 0.5000

Output
Excess energy over the best structure of this formula in the dataset in kJ/mol of formula units: 0
Energy relative to the elements, uncorrected in eV per atom: -0.50
Total magnetic moment in μB per formula unit: 0.000


12.
Material: Zn2HPdN
Method: DFT, PBE
State: optimized geometry

Cell: 4.0699 4.0699 3.4064 Å, 90.00 90.00 90.00°
Atoms (fractional coordinates):
Zn 0.0000 0.5000 0.0000
Zn 0.5000 0.0000 0.0000
H 0.0000 0.0000 0.0000
Pd 0.0000 0.0000 0.5000
N 0.5000 0.5000 0.5000

Output
Calculated total energy in eV for the cell shown: -16.43
Total magnetic moment in μB per formula unit: 0.000